A relaxed La8Er3Sc2 crystal, computed with PBE.

a b c (Å): 8.849 8.849 6.077
angles (deg): 106.17 106.17 83.73
Fractional coordinates of all 13 atoms:
La (0.056, 0.056, 0.292)
La (0.090, 0.581, 0.850)
La (0.354, 0.354, 0.408)
La (0.419, 0.910, 0.150)
La (0.581, 0.090, 0.850)
La (0.646, 0.646, 0.592)
La (0.910, 0.419, 0.150)
La (0.944, 0.944, 0.708)
Er (0.244, 0.756, 0.500)
Er (0.500, 0.500, 0.000)
Er (0.756, 0.244, 0.500)
Sc (0.202, 0.202, 0.844)
Sc (0.798, 0.798, 0.156)

Properties
Symmetry: C2/m, No. 12
Calculated total energy, eV per cell: -63.75
Magnetization, μB per atom: 0.000
Formation energy from the elements, eV/atom: 0.16